Na2Pa2VN6: relaxed, PBE.

abc: 5.7829 5.7829 5.9951
angles: 97.35 97.35 119.65
Fractional coordinates of all 11 atoms:
Na  0.8503  0.1497  0.0000
Na  0.1497  0.8503  0.0000
Pa  0.3353  0.6647  0.5000
Pa  0.6647  0.3353  0.5000
V  0.0000  0.0000  0.5000
N  0.7531  0.7531  0.6776
N  0.0414  0.3572  0.6762
N  0.2469  0.2469  0.3224
N  0.3572  0.0414  0.6762
N  0.9586  0.6428  0.3238
N  0.6428  0.9586  0.3238

## Properties
Space group ... No. 12
DOS at the Fermi energy ... 8.99 states/eV/f.u.
DFT total energy ... -89.8 eV/f.u.
Total magnetization ... 0.00 μB/cell